Record 1
This record from the Alexandria database describes a geometry-optimized Tb3Pm6Tm2 structure. The functional is PBE.

Summary:
E_form: 0.29 eV/atom
D(E_F): 16.5 states/eV/cell
distance to the lowest polymorph of the same formula: 0.277 eV/atom
DFT total energy: -0.16076 hartree per atom
crystal system: tetragonal
size of the total moment: 0.0 μB per formula unit
calculated density: 7.33 g/cm3

a = 17.0932 Å, b = 17.0932 Å, c = 17.0932 Å
α = 163.96°, β = 163.96°, γ = 22.77°
Atoms (fractional coordinates):
Tb 0.0000 0.0000 0.0000
Tb 0.1978 0.1978 0.0000
Tb 0.8022 0.8022 0.0000
Pm 0.1197 0.6197 0.5000
Pm 0.3002 0.3002 0.0000
Pm 0.3803 0.8803 0.5000
Pm 0.6197 0.1197 0.5000
Pm 0.6998 0.6998 0.0000
Pm 0.8803 0.3803 0.5000
Tm 0.4547 0.4547 0.0000
Tm 0.5453 0.5453 0.0000

=====

Record 2
This record from the Alexandria database describes a geometry-optimized Tb3Pm4Tm structure. The functional is PBE.

Summary:
E_form: 0.03 eV/atom
D(E_F): 28.6 states/eV/cell
distance to the lowest polymorph of the same formula: 0.000 eV/atom
DFT total energy: -0.17072 hartree per atom
crystal system: orthorhombic
size of the total moment: 0.0 μB per formula unit
calculated density: 7.64 g/cm3

a = 11.5337 Å, b = 7.3151 Å, c = 6.3111 Å
α = 90.00°, β = 90.00°, γ = 90.00°
Atoms (fractional coordinates):
Tb 0.0000 0.1233 0.0000
Tb 0.2499 0.1223 0.3323
Tb 0.2501 0.8777 0.8323
Tb 0.5000 0.8767 0.5000
Tb 0.7501 0.1223 0.3323
Tb 0.7499 0.8777 0.8323
Pm 0.0000 0.3736 0.5017
Pm 0.0000 0.6269 0.9974
Pm 0.2481 0.6279 0.3339
Pm 0.2519 0.3721 0.8339
Pm 0.5000 0.3731 0.4974
Pm 0.5000 0.6264 0.0017
Pm 0.7481 0.3721 0.8339
Pm 0.7519 0.6279 0.3339
Tm 0.0000 0.8789 0.4995
Tm 0.5000 0.1211 0.9995

=====

Record 3
This record from the Alexandria database describes a geometry-optimized TbPm5Tm3 structure. The functional is PBE.

Summary:
E_form: 0.31 eV/atom
D(E_F): 25.9 states/eV/cell
distance to the lowest polymorph of the same formula: 0.183 eV/atom
DFT total energy: -0.15910 hartree per atom
crystal system: tetragonal
size of the total moment: 0.0 μB per formula unit
calculated density: 7.61 g/cm3

a = 9.6742 Å, b = 9.6742 Å, c = 9.6742 Å
α = 123.16°, β = 123.16°, γ = 84.60°
Atoms (fractional coordinates):
Tb 0.2500 0.7500 0.5000
Tb 0.7500 0.2500 0.5000
Pm 0.0000 0.0000 0.0000
Pm 0.0692 0.5692 0.9021
Pm 0.1670 0.0692 0.5000
Pm 0.3330 0.8330 0.9021
Pm 0.4308 0.3330 0.5000
Pm 0.5000 0.5000 0.0000
Pm 0.5692 0.6670 0.5000
Pm 0.6670 0.1670 0.0979
Pm 0.8330 0.9308 0.5000
Pm 0.9308 0.4308 0.0979
Tm 0.1102 0.3898 0.5000
Tm 0.2500 0.2500 0.0000
Tm 0.3898 0.8898 0.2796
Tm 0.6102 0.1102 0.7204
Tm 0.7500 0.7500 0.0000
Tm 0.8898 0.6102 0.5000

=====

Record 4
This record from the Alexandria database describes a geometry-optimized Tb2Pm2Tm15 structure. The functional is PBE.

Summary:
E_form: 0.29 eV/atom
D(E_F): 32.4 states/eV/cell
DFT total energy: -0.15534 hartree per atom
crystal system: trigonal
size of the total moment: 0.0 μB per formula unit
calculated density: 8.45 g/cm3

a = 8.6330 Å, b = 8.6330 Å, c = 8.6330 Å
α = 80.07°, β = 80.07°, γ = 80.07°
Atoms (fractional coordinates):
Tb 0.1704 0.1704 0.1704
Tb 0.8296 0.8296 0.8296
Pm 0.3840 0.3840 0.3840
Pm 0.6160 0.6160 0.6160
Tm 0.0000 0.5000 0.5000
Tm 0.1338 0.1338 0.6515
Tm 0.1338 0.6515 0.1338
Tm 0.1959 0.5000 0.8041
Tm 0.1959 0.8041 0.5000
Tm 0.3485 0.8662 0.8662
Tm 0.5000 0.0000 0.5000
Tm 0.5000 0.1959 0.8041
Tm 0.5000 0.5000 0.0000
Tm 0.5000 0.8041 0.1959
Tm 0.6515 0.1338 0.1338
Tm 0.8041 0.1959 0.5000
Tm 0.8041 0.5000 0.1959
Tm 0.8662 0.3485 0.8662
Tm 0.8662 0.8662 0.3485

=====

Record 5
This record from the Alexandria database describes a geometry-optimized TbPm3Tm7 structure. The functional is PBE.

Summary:
E_form: 0.18 eV/atom
D(E_F): 16.6 states/eV/cell
DFT total energy: -0.16096 hartree per atom
crystal system: trigonal
size of the total moment: 0.0 μB per formula unit
calculated density: 8.08 g/cm3

a = 6.9997 Å, b = 6.9997 Å, c = 8.6042 Å
α = 90.00°, β = 90.00°, γ = 120.00°
Atoms (fractional coordinates):
Tb 0.0000 0.0000 0.0000
Pm 0.3336 0.1668 0.6613
Pm 0.8332 0.1668 0.6613
Pm 0.8332 0.6664 0.6613
Tm 0.1660 0.3320 0.3239
Tm 0.1660 0.8340 0.3239
Tm 0.5008 0.0016 0.0005
Tm 0.5008 0.4992 0.0005
Tm 0.6667 0.3333 0.3233
Tm 0.6680 0.8340 0.3239
Tm 0.9984 0.4992 0.0005

=====

Record 6
This record from the Alexandria database describes a geometry-optimized Tb4Pm4Tm3 structure. The functional is PBE.

Summary:
E_form: 0.05 eV/atom
D(E_F): 17.3 states/eV/cell
distance to the lowest polymorph of the same formula: 0.000 eV/atom
DFT total energy: -0.16825 hartree per atom
crystal system: triclinic
size of the total moment: 0.0 μB per formula unit
calculated density: 8.01 g/cm3

a = 3.5161 Å, b = 5.4481 Å, c = 18.9248 Å
α = 98.27°, β = 95.32°, γ = 90.02°
Atoms (fractional coordinates):
Tb 0.0473 0.0455 0.0911
Tb 0.1839 0.6830 0.3653
Tb 0.8161 0.3170 0.6347
Tb 0.9527 0.9545 0.9089
Pm 0.2769 0.7777 0.5563
Pm 0.4014 0.4037 0.8076
Pm 0.5986 0.5963 0.1924
Pm 0.7231 0.2223 0.4437
Tm 0.1386 0.1362 0.2721
Tm 0.5000 0.5000 0.0000
Tm 0.8614 0.8638 0.7279